Record 1
The following is a PBE calculation of a geometry-optimized RbY structure, from the Alexandria database.

The density of states at the Fermi level comes out at 1.35 states/eV/atom.

It has space group P4_2/mnm (No. 136), with a = 7.627 Å, b = 7.627 Å, c = 7.812 Å, α = 90.00°, β = 90.00° and γ = 90.00°. The inequivalent atoms are Rb at (0.169, 0.169, 0.000) and Y at (0.148, 0.148, 0.500).



Record 2
The following is a PBE calculation of a geometry-optimized CaLaErTl structure, from the Alexandria database.

The density of states at the Fermi level comes out at 0.87 states/eV/atom.

It has space group F-43m (No. 216), with a = 7.943 Å, b = 7.943 Å, c = 7.943 Å, α = 90.00°, β = 90.00° and γ = 90.00°. The inequivalent atoms are Ca at (0.000, 0.000, 0.000), La at (0.250, 0.250, 0.750), Er at (0.250, 0.250, 0.250) and Tl at (0.000, 0.000, 0.500).



Record 3
The following is a PBE calculation of a geometry-optimized MgTcAgF6 structure, from the Alexandria database.

Its uncorrected formation energy is -2.170 eV per atom. The density of states at the Fermi level comes out at 0.43 states/eV/atom.

It has space group P-31c (No. 163), with a = 5.4731 Å, b = 5.4731 Å, c = 10.3228 Å, α = 90.00°, β = 90.00° and γ = 120.00°. The inequivalent atoms are Mg at (0.3333, 0.6667, 0.2500), Tc at (0.3333, 0.6667, 0.7500), Ag at (0.0000, 0.0000, 0.0000) and F at (0.0042, 0.3670, 0.1475).



Record 4
The following is a PBE calculation of a geometry-optimized CdSb2Se structure, from the Alexandria database.

The value obtained for the energy relative to the lowest polymorph listed for this composition is 327 meV/atom. Its uncorrected formation energy is 0.167 eV per atom. The density of states at the Fermi level comes out at 0.53 states/eV/atom.

It has space group P4/mmm (No. 123), with a = 5.244 Å, b = 5.244 Å, c = 3.601 Å, α = 90.00°, β = 90.00° and γ = 90.00°. The inequivalent atoms are Cd at (0.000, 0.000, 0.000), Sb at (0.000, 0.500, 0.500) and Se at (0.500, 0.500, 0.000).



Record 5
The following is a PBE calculation of a geometry-optimized MgZnHgH2 structure, from the Alexandria database.

The value obtained for the energy relative to the lowest polymorph listed for this composition is 8 meV/atom. The density of states at the Fermi level comes out at 0.12 states/eV/atom.

It has space group P4/mmm (No. 123), with a = 3.786 Å, b = 3.786 Å, c = 6.231 Å, α = 90.00°, β = 90.00° and γ = 90.00°. The inequivalent atoms are Mg at (0.000, 0.000, 0.000), Zn at (0.000, 0.000, 0.500), Hg at (0.500, 0.500, 0.500) and H at (0.000, 0.500, 0.000).



Record 6
The following is a PBE calculation of a geometry-optimized Ho2RuBr structure, from the Alexandria database.

The value obtained for the energy relative to the lowest polymorph listed for this composition is 27 meV/atom. Its uncorrected formation energy is -0.753 eV per atom. The density of states at the Fermi level comes out at 0.58 states/eV/atom.

It has space group R-3m (No. 166, hexagonal axes), with a = 3.9517 Å, b = 3.9517 Å, c = 22.9233 Å, α = 90.00°, β = 90.00° and γ = 120.00°. The inequivalent atoms are Ho at (0.0000, 0.0000, 0.2313), Ru at (0.0000, 0.0000, 0.5000) and Br at (0.0000, 0.0000, 0.0000).



Number 1: E_tot -2.60 eV per atom. Number 2: E_tot -3.54 eV per atom. Number 3: E_tot -5.06 eV per atom. Number 4: E_tot -2.99 eV per atom. Number 5: E_tot -1.77 eV per atom. Number 6: E_tot -5.78 eV per atom.